# Rb4DyEr3Te8, optimized geometry, DFT PBE-GGA
# Energy relative to the elements, uncorrected = -1372 meV per atom
# Raw total energy = -4.328 eV per atom
data_Rb4DyEr3Te8
_symmetry_space_group_name_H-M 'R -3 m'
_symmetry_Int_Tables_number 166
_symmetry_space_group_name_Hall '-R 3 2"'
_cell_length_a 9.0097
_cell_length_b 9.0097
_cell_length_c 25.6457
_cell_angle_alpha 90.00
_cell_angle_beta 90.00
_cell_angle_gamma 120.00
loop_
_atom_site_label
_atom_site_type_symbol
_atom_site_fract_x
_atom_site_fract_y
_atom_site_fract_z
_atom_site_occupancy
Rb1 Rb 0.0000 0.0000 0.0000 1
Rb2 Rb 0.0000 0.5000 0.0000 1
Dy1 Dy 0.0000 0.0000 0.5000 1
Er1 Er 0.0000 0.5000 0.5000 1
Te1 Te 0.0000 0.0000 0.2325 1
Te2 Te 0.0016 0.5008 0.7673 1